(1)
Ac2GdI: relaxed, GGA-PBE.

Lattice parameters (Å, degrees): 3.846 3.846 38.067 90.00 90.00 120.00
Fractional coordinates of all 12 atoms:
Ac1 0.000 0.000 0.094
Ac2 0.000 0.000 0.906
Ac3 0.333 0.667 0.572
Ac4 0.333 0.667 0.761
Ac5 0.667 0.333 0.239
Ac6 0.667 0.333 0.428
Gd1 0.000 0.000 0.000
Gd2 0.333 0.667 0.667
Gd3 0.667 0.333 0.333
I1 0.000 0.000 0.500
I2 0.333 0.667 0.167
I3 0.667 0.333 0.833

**Size of the total moment**: 24.8 Bohr magnetons per cell
**ΔE to the lowest computed polymorph**: 212 meV/atom
**ΔE_f (raw)**: -0.162 eV per atom
**Theoretical density**: 7.5 g cm⁻³
**Calculated volume**: 487.6 Å³ per cell
**DOS(E_F)**: 1.9495 states/eV per atom



(2)
AcGdI2: relaxed, GGA-PBE.

Lattice parameters (Å, degrees): 4.044 4.044 33.876 90.00 90.00 120.00
Fractional coordinates of all 12 atoms:
Ac1 0.000 0.000 0.000
Ac2 0.333 0.667 0.667
Ac3 0.667 0.333 0.333
Gd1 0.000 0.000 0.500
Gd2 0.333 0.667 0.167
Gd3 0.667 0.333 0.833
I1 0.000 0.000 0.407
I2 0.000 0.000 0.593
I3 0.333 0.667 0.074
I4 0.333 0.667 0.259
I5 0.667 0.333 0.741
I6 0.667 0.333 0.926

**Size of the total moment**: 21.6 Bohr magnetons per cell
**ΔE_f (raw)**: -0.763 eV per atom
**Theoretical density**: 6.6 g cm⁻³
**Calculated volume**: 479.7 Å³ per cell
**DOS(E_F)**: 1.7200 states/eV per atom



(3)
Ac2GdI: relaxed, GGA-PBE.

Lattice parameters (Å, degrees): 3.920 3.920 10.243 90.00 90.00 90.00
Fractional coordinates of all 4 atoms:
Ac1 0.000 0.000 0.246
Ac2 0.000 0.000 0.754
Gd1 0.500 0.500 0.500
I1 0.500 0.500 0.000

**Size of the total moment**: 7.4 Bohr magnetons per cell
**ΔE to the lowest computed polymorph**: 0 meV/atom
**ΔE_f (raw)**: -0.375 eV per atom
**Theoretical density**: 7.8 g cm⁻³
**Calculated volume**: 157.4 Å³ per cell
**DOS(E_F)**: 1.2521 states/eV per atom



(4)
AcGdTeI: relaxed, GGA-PBE.

Lattice parameters (Å, degrees): 7.938 7.938 7.938 90.00 90.00 90.00
Fractional coordinates of all 16 atoms:
Ac1 0.000 0.000 0.000
Ac2 0.000 0.500 0.500
Ac3 0.500 0.000 0.500
Ac4 0.500 0.500 0.000
Gd1 0.000 0.000 0.500
Gd2 0.000 0.500 0.000
Gd3 0.500 0.000 0.000
Gd4 0.500 0.500 0.500
Te1 0.250 0.250 0.750
Te2 0.250 0.750 0.250
Te3 0.750 0.250 0.250
Te4 0.750 0.750 0.750
I1 0.250 0.250 0.250
I2 0.250 0.750 0.750
I3 0.750 0.250 0.750
I4 0.750 0.750 0.250

**Size of the total moment**: 30.9 Bohr magnetons per cell
**ΔE_f (raw)**: -1.050 eV per atom
**Theoretical density**: 8.5 g cm⁻³
**Calculated volume**: 500.3 Å³ per cell
**DOS(E_F)**: 1.3556 states/eV per atom



(5)
Ac2GdIn: relaxed, GGA-PBE.

Lattice parameters (Å, degrees): 8.305 8.305 8.305 90.00 90.00 90.00
Fractional coordinates of all 16 atoms:
Ac1 0.250 0.250 0.250
Ac2 0.250 0.250 0.750
Ac3 0.250 0.750 0.250
Ac4 0.250 0.750 0.750
Ac5 0.750 0.250 0.250
Ac6 0.750 0.250 0.750
Ac7 0.750 0.750 0.250
Ac8 0.750 0.750 0.750
Gd1 0.000 0.000 0.000
Gd2 0.000 0.500 0.500
Gd3 0.500 0.000 0.500
Gd4 0.500 0.500 0.000
In1 0.000 0.000 0.500
In2 0.000 0.500 0.000
In3 0.500 0.000 0.000
In4 0.500 0.500 0.500

**Size of the total moment**: 31.5 Bohr magnetons per cell
**ΔE to the lowest computed polymorph**: 83 meV/atom
**Theoretical density**: 8.4 g cm⁻³
**Calculated volume**: 572.9 Å³ per cell
**DFT formation energy**: -0.110 eV/atom
**DOS(E_F)**: 1.5216 states/eV per atom



(6)
Ac2GdIn: relaxed, GGA-PBE.

Lattice parameters (Å, degrees): 5.267 5.267 5.095 90.00 90.00 90.00
Fractional coordinates of all 4 atoms:
Ac1 0.000 0.500 0.000
Ac2 0.500 0.000 0.000
Gd1 0.000 0.000 0.500
In1 0.500 0.500 0.500

**Size of the total moment**: 8.1 Bohr magnetons per cell
**ΔE to the lowest computed polymorph**: 0 meV/atom
**Theoretical density**: 8.5 g cm⁻³
**Calculated volume**: 141.4 Å³ per cell
**DFT formation energy**: -0.193 eV/atom
**DOS(E_F)**: 1.2377 states/eV per atom



(7)
Ac2GdIn: relaxed, GGA-PBE.

Lattice parameters (Å, degrees): 4.066 4.066 8.968 90.00 90.00 90.00
Fractional coordinates of all 4 atoms:
Ac1 0.000 0.000 0.228
Ac2 0.000 0.000 0.772
Gd1 0.500 0.500 0.500
In1 0.500 0.500 0.000

**Size of the total moment**: 7.8 Bohr magnetons per cell
**ΔE to the lowest computed polymorph**: 45 meV/atom
**Theoretical density**: 8.1 g cm⁻³
**Calculated volume**: 148.3 Å³ per cell
**DFT formation energy**: -0.148 eV/atom
**DOS(E_F)**: 1.6355 states/eV per atom



(8)
AcGdInIr: relaxed, GGA-PBE.

Lattice parameters (Å, degrees): 7.544 7.544 7.544 90.00 90.00 90.00
Fractional coordinates of all 16 atoms:
Ac1 0.000 0.000 0.000
Ac2 0.000 0.500 0.500
Ac3 0.500 0.000 0.500
Ac4 0.500 0.500 0.000
Gd1 0.000 0.000 0.500
Gd2 0.000 0.500 0.000
Gd3 0.500 0.000 0.000
Gd4 0.500 0.500 0.500
In1 0.250 0.250 0.250
In2 0.250 0.750 0.750
In3 0.750 0.250 0.750
In4 0.750 0.750 0.250
Ir1 0.250 0.250 0.750
Ir2 0.250 0.750 0.250
Ir3 0.750 0.250 0.250
Ir4 0.750 0.750 0.750

**Size of the total moment**: 28.1 Bohr magnetons per cell
**Theoretical density**: 10.7 g cm⁻³
**Calculated volume**: 429.3 Å³ per cell
**DFT formation energy**: -0.354 eV/atom
**DOS(E_F)**: 1.0283 states/eV per atom



(9)
AcGdMgIn: relaxed, GGA-PBE.

Lattice parameters (Å, degrees): 7.926 7.926 7.926 90.00 90.00 90.00
Fractional coordinates of all 16 atoms:
Ac1 0.000 0.000 0.000
Ac2 0.000 0.500 0.500
Ac3 0.500 0.000 0.500
Ac4 0.500 0.500 0.000
Gd1 0.000 0.000 0.500
Gd2 0.000 0.500 0.000
Gd3 0.500 0.000 0.000
Gd4 0.500 0.500 0.500
Mg1 0.250 0.250 0.750
Mg2 0.250 0.750 0.250
Mg3 0.750 0.250 0.250
Mg4 0.750 0.750 0.750
In1 0.250 0.250 0.250
In2 0.250 0.750 0.750
In3 0.750 0.250 0.750
In4 0.750 0.750 0.250

**Size of the total moment**: 30.8 Bohr magnetons per cell
**Theoretical density**: 7.0 g cm⁻³
**Calculated volume**: 497.8 Å³ per cell
**DFT formation energy**: -0.266 eV/atom
**DOS(E_F)**: 1.3257 states/eV per atom



(10)
NaAcGdIn: relaxed, GGA-PBE.

Lattice parameters (Å, degrees): 8.029 8.029 8.029 90.00 90.00 90.00
Fractional coordinates of all 16 atoms:
Na1 0.000 0.000 0.000
Na2 0.000 0.500 0.500
Na3 0.500 0.000 0.500
Na4 0.500 0.500 0.000
Ac1 0.250 0.250 0.750
Ac2 0.250 0.750 0.250
Ac3 0.750 0.250 0.250
Ac4 0.750 0.750 0.750
Gd1 0.250 0.250 0.250
Gd2 0.250 0.750 0.750
Gd3 0.750 0.250 0.750
Gd4 0.750 0.750 0.250
In1 0.000 0.000 0.500
In2 0.000 0.500 0.000
In3 0.500 0.000 0.000
In4 0.500 0.500 0.500

**Size of the total moment**: 31.0 Bohr magnetons per cell
**Theoretical density**: 6.7 g cm⁻³
**Calculated volume**: 517.5 Å³ per cell
**DFT formation energy**: -0.129 eV/atom
**DOS(E_F)**: 1.2026 states/eV per atom



(11)
AcNdGdIn: relaxed, GGA-PBE.

Lattice parameters (Å, degrees): 8.099 8.099 8.099 90.00 90.00 90.00
Fractional coordinates of all 16 atoms:
Ac1 0.000 0.000 0.000
Ac2 0.000 0.500 0.500
Ac3 0.500 0.000 0.500
Ac4 0.500 0.500 0.000
Nd1 0.000 0.000 0.500
Nd2 0.000 0.500 0.000
Nd3 0.500 0.000 0.000
Nd4 0.500 0.500 0.500
Gd1 0.250 0.250 0.250
Gd2 0.250 0.750 0.750
Gd3 0.750 0.250 0.750
Gd4 0.750 0.750 0.250
In1 0.250 0.250 0.750
In2 0.250 0.750 0.250
In3 0.750 0.250 0.250
In4 0.750 0.750 0.750

**Size of the total moment**: 33.1 Bohr magnetons per cell
**Theoretical density**: 8.0 g cm⁻³
**Calculated volume**: 531.2 Å³ per cell
**DFT formation energy**: -0.134 eV/atom
**DOS(E_F)**: 1.5588 states/eV per atom



(12)
AcGdInPb: relaxed, GGA-PBE.

Lattice parameters (Å, degrees): 7.999 7.999 7.999 90.00 90.00 90.00
Fractional coordinates of all 16 atoms:
Ac1 0.000 0.000 0.000
Ac2 0.000 0.500 0.500
Ac3 0.500 0.000 0.500
Ac4 0.500 0.500 0.000
Gd1 0.000 0.000 0.500
Gd2 0.000 0.500 0.000
Gd3 0.500 0.000 0.000
Gd4 0.500 0.500 0.500
In1 0.250 0.250 0.250
In2 0.250 0.750 0.750
In3 0.750 0.250 0.750
In4 0.750 0.750 0.250
Pb1 0.250 0.250 0.750
Pb2 0.250 0.750 0.250
Pb3 0.750 0.250 0.250
Pb4 0.750 0.750 0.750

**Size of the total moment**: 28.9 Bohr magnetons per cell
**Theoretical density**: 9.2 g cm⁻³
**Calculated volume**: 511.7 Å³ per cell
**DFT formation energy**: -0.417 eV/atom
**DOS(E_F)**: 1.2279 states/eV per atom



(13)
AcPrGdIn: relaxed, GGA-PBE.

Lattice parameters (Å, degrees): 8.121 8.121 8.121 90.00 90.00 90.00
Fractional coordinates of all 16 atoms:
Ac1 0.000 0.000 0.000
Ac2 0.000 0.500 0.500
Ac3 0.500 0.000 0.500
Ac4 0.500 0.500 0.000
Pr1 0.000 0.000 0.500
Pr2 0.000 0.500 0.000
Pr3 0.500 0.000 0.000
Pr4 0.500 0.500 0.500
Gd1 0.250 0.250 0.250
Gd2 0.250 0.750 0.750
Gd3 0.750 0.250 0.750
Gd4 0.750 0.750 0.250
In1 0.250 0.250 0.750
In2 0.250 0.750 0.250
In3 0.750 0.250 0.250
In4 0.750 0.750 0.750

**Size of the total moment**: 32.9 Bohr magnetons per cell
**Theoretical density**: 7.9 g cm⁻³
**Calculated volume**: 535.6 Å³ per cell
**DFT formation energy**: -0.137 eV/atom
**DOS(E_F)**: 1.5504 states/eV per atom



(14)
AcGdInRu: relaxed, GGA-PBE.

Lattice parameters (Å, degrees): 7.522 7.522 7.522 90.00 90.00 90.00
Fractional coordinates of all 16 atoms:
Ac1 0.000 0.000 0.000
Ac2 0.000 0.500 0.500
Ac3 0.500 0.000 0.500
Ac4 0.500 0.500 0.000
Gd1 0.000 0.000 0.500
Gd2 0.000 0.500 0.000
Gd3 0.500 0.000 0.000
Gd4 0.500 0.500 0.500
In1 0.250 0.250 0.250
In2 0.250 0.750 0.750
In3 0.750 0.250 0.750
In4 0.750 0.750 0.250
Ru1 0.250 0.250 0.750
Ru2 0.250 0.750 0.250
Ru3 0.750 0.250 0.250
Ru4 0.750 0.750 0.750

**Size of the total moment**: 27.9 Bohr magnetons per cell
**Theoretical density**: 9.4 g cm⁻³
**Calculated volume**: 425.6 Å³ per cell
**DFT formation energy**: -0.133 eV/atom
**DOS(E_F)**: 0.7128 states/eV per atom



(15)
AcGdInSb: relaxed, GGA-PBE.

Lattice parameters (Å, degrees): 7.932 7.932 7.932 90.00 90.00 90.00
Fractional coordinates of all 16 atoms:
Ac1 0.000 0.000 0.000
Ac2 0.000 0.500 0.500
Ac3 0.500 0.000 0.500
Ac4 0.500 0.500 0.000
Gd1 0.000 0.000 0.500
Gd2 0.000 0.500 0.000
Gd3 0.500 0.000 0.000
Gd4 0.500 0.500 0.500
In1 0.250 0.250 0.250
In2 0.250 0.750 0.750
In3 0.750 0.250 0.750
In4 0.750 0.750 0.250
Sb1 0.250 0.250 0.750
Sb2 0.250 0.750 0.250
Sb3 0.750 0.250 0.250
Sb4 0.750 0.750 0.750

**Size of the total moment**: 29.1 Bohr magnetons per cell
**ΔE_f (raw)**: -0.566 eV per atom
**Theoretical density**: 8.3 g cm⁻³
**Calculated volume**: 499.0 Å³ per cell
**DOS(E_F)**: 1.3237 states/eV per atom



(16)
AcGdScIn: relaxed, GGA-PBE.

Lattice parameters (Å, degrees): 7.886 7.886 7.886 90.00 90.00 90.00
Fractional coordinates of all 16 atoms:
Ac1 0.000 0.000 0.000
Ac2 0.000 0.500 0.500
Ac3 0.500 0.000 0.500
Ac4 0.500 0.500 0.000
Gd1 0.000 0.000 0.500
Gd2 0.000 0.500 0.000
Gd3 0.500 0.000 0.000
Gd4 0.500 0.500 0.500
Sc1 0.250 0.250 0.250
Sc2 0.250 0.750 0.750
Sc3 0.750 0.250 0.750
Sc4 0.750 0.750 0.250
In1 0.250 0.250 0.750
In2 0.250 0.750 0.250
In3 0.750 0.250 0.250
In4 0.750 0.750 0.750

**Size of the total moment**: 33.6 Bohr magnetons per cell
**Theoretical density**: 7.4 g cm⁻³
**Calculated volume**: 490.5 Å³ per cell
**DFT formation energy**: -0.122 eV/atom
**DOS(E_F)**: 1.4024 states/eV per atom



(17)
SrAcGdIn: relaxed, GGA-PBE.

Lattice parameters (Å, degrees): 8.274 8.274 8.274 90.00 90.00 90.00
Fractional coordinates of all 16 atoms:
Sr1 0.000 0.000 0.000
Sr2 0.000 0.500 0.500
Sr3 0.500 0.000 0.500
Sr4 0.500 0.500 0.000
Ac1 0.250 0.250 0.750
Ac2 0.250 0.750 0.250
Ac3 0.750 0.250 0.250
Ac4 0.750 0.750 0.750
Gd1 0.000 0.000 0.500
Gd2 0.000 0.500 0.000
Gd3 0.500 0.000 0.000
Gd4 0.500 0.500 0.500
In1 0.250 0.250 0.250
In2 0.250 0.750 0.750
In3 0.750 0.250 0.750
In4 0.750 0.750 0.250

**Size of the total moment**: 33.2 Bohr magnetons per cell
**Theoretical density**: 6.9 g cm⁻³
**Calculated volume**: 566.4 Å³ per cell
**DFT formation energy**: 0.018 eV/atom
**DOS(E_F)**: 2.1476 states/eV per atom



(18)
AcTbGdIn: relaxed, GGA-PBE.

Lattice parameters (Å, degrees): 8.026 8.026 8.026 90.00 90.00 90.00
Fractional coordinates of all 16 atoms:
Ac1 0.000 0.000 0.000
Ac2 0.000 0.500 0.500
Ac3 0.500 0.000 0.500
Ac4 0.500 0.500 0.000
Tb1 0.250 0.250 0.750
Tb2 0.250 0.750 0.250
Tb3 0.750 0.250 0.250
Tb4 0.750 0.750 0.750
Gd1 0.000 0.000 0.500
Gd2 0.000 0.500 0.000
Gd3 0.500 0.000 0.000
Gd4 0.500 0.500 0.500
In1 0.250 0.250 0.250
In2 0.250 0.750 0.750
In3 0.750 0.250 0.750
In4 0.750 0.750 0.250

**Size of the total moment**: 33.7 Bohr magnetons per cell
**Theoretical density**: 8.5 g cm⁻³
**Calculated volume**: 517.0 Å³ per cell
**DFT formation energy**: -0.113 eV/atom
**DOS(E_F)**: 1.3484 states/eV per atom



(19)
AcGdThIn: relaxed, GGA-PBE.

Lattice parameters (Å, degrees): 8.053 8.053 8.053 90.00 90.00 90.00
Fractional coordinates of all 16 atoms:
Ac1 0.000 0.000 0.000
Ac2 0.000 0.500 0.500
Ac3 0.500 0.000 0.500
Ac4 0.500 0.500 0.000
Gd1 0.000 0.000 0.500
Gd2 0.000 0.500 0.000
Gd3 0.500 0.000 0.000
Gd4 0.500 0.500 0.500
Th1 0.250 0.250 0.250
Th2 0.250 0.750 0.750
Th3 0.750 0.250 0.750
Th4 0.750 0.750 0.250
In1 0.250 0.250 0.750
In2 0.250 0.750 0.250
In3 0.750 0.250 0.250
In4 0.750 0.750 0.750

**Size of the total moment**: 32.0 Bohr magnetons per cell
**Theoretical density**: 9.3 g cm⁻³
**Calculated volume**: 522.3 Å³ per cell
**DFT formation energy**: 0.029 eV/atom
**DOS(E_F)**: 1.4444 states/eV per atom



(20)
AcGdYIn: relaxed, GGA-PBE.

Lattice parameters (Å, degrees): 8.019 8.019 8.019 90.00 90.00 90.00
Fractional coordinates of all 16 atoms:
Ac1 0.000 0.000 0.000
Ac2 0.000 0.500 0.500
Ac3 0.500 0.000 0.500
Ac4 0.500 0.500 0.000
Gd1 0.250 0.250 0.250
Gd2 0.250 0.750 0.750
Gd3 0.750 0.250 0.750
Gd4 0.750 0.750 0.250
Y1 0.000 0.000 0.500
Y2 0.000 0.500 0.000
Y3 0.500 0.000 0.000
Y4 0.500 0.500 0.500
In1 0.250 0.250 0.750
In2 0.250 0.750 0.250
In3 0.750 0.250 0.250
In4 0.750 0.750 0.750

**Size of the total moment**: 33.9 Bohr magnetons per cell
**Theoretical density**: 7.6 g cm⁻³
**Calculated volume**: 515.6 Å³ per cell
**DFT formation energy**: -0.125 eV/atom
**DOS(E_F)**: 1.4560 states/eV per atom